PIrRu2Pt PBE optimized geometry; space-group type = P4/mmm, No. 123; energy of formation from the pure elements = 1822 meV/atom; spin magnetization = 0.4 Bohr magnetons per cell; total energy = -5.951 eV per atom
1.0
4.632 0.000 0.000
0.000 4.632 0.000
0.000 0.000 4.913
P Ir Ru Pt
1 1 2 1
Direct
0.000 0.000 0.000
0.500 0.500 0.500
0.000 0.500 0.500
0.500 0.000 0.500
0.500 0.500 0.000